[1]
Compound: CdGaReTc2
Source: Alexandria via LeMat-Bulk
Functional: meta-GGA SCAN
Structure: single point on PBEsol structure

a = 4.6179 Å, b = 4.6179 Å, c = 5.1543 Å
α = 90.00°, β = 90.00°, γ = 90.00°
Closest atoms and distances in Å follow each position.
Element x y z (fractional)
Tc 0.5000 0.0000 0.0000  2 Re 2.31
Cd 0.0000 0.0000 0.5000  2 Re 2.58
Re 0.0000 0.0000 0.0000  4 Tc 2.31, 2 Cd 2.58
Tc 0.0000 0.5000 0.0000  2 Re 2.31
Ga 0.5000 0.5000 0.5000  4 Cd 3.27, 8 Tc 3.46

## Properties
Formation energy from the elements ... 7.617 eV per formula unit
DOS at the Fermi energy ... 0.795 states/eV per atom
SG ... P4/mmm, No. 123
Crystal system ... tetragonal
M_tot ... 0.59 μB per atom

***

[2]
Compound: Li3Mo3P4O16
Source: Alexandria via LeMat-Bulk
Functional: meta-GGA SCAN
Structure: single point on PBEsol structure

a = 5.0396 Å, b = 8.6187 Å, c = 13.5047 Å
α = 95.33°, β = 90.00°, γ = 90.00°
Closest atoms and distances in Å follow each position.
Element x y z (fractional)
O 0.3107 0.4302 0.8552  1 P 1.59
O 0.2310 0.5565 0.6146  1 P 1.56
O 0.0300 0.7885 0.1251  1 P 1.55
Mo 0.4738 0.5026 0.2826  5 O 2.02-2.13
Li 0.4389 0.8468 0.1128  4 O 1.93-2.13
O 0.1893 0.9302 0.3552  1 P 1.59
P 0.5027 0.8218 0.8868  4 O 1.51-1.56
Li 0.9389 0.6532 0.3872  4 O 1.93-2.13
P 0.9973 0.3218 0.3868  4 O 1.51-1.56
O 0.0161 0.7601 0.5158  1 P 1.55
P 0.0067 0.3830 0.8515  4 O 1.52-1.59
Mo 0.5262 0.4974 0.7174  5 O 2.02-2.13
O 0.6532 0.9929 0.4225  1 P 1.52
O 0.9860 0.2107 0.2938  1 P 1.51
O 0.7310 0.9435 0.8854  1 P 1.56
O 0.0140 0.7893 0.7062  1 P 1.51
Mo 0.5000 0.5000 0.0000  6 O 2.04-2.21
O 0.1532 0.5071 0.0775  1 P 1.52
P 0.4933 0.8830 0.3515  4 O 1.52-1.59
O 0.9700 0.2115 0.8749  1 P 1.55
P 0.9933 0.6170 0.1485  4 O 1.52-1.59
O 0.3468 0.0071 0.5775  1 P 1.52
Mo 0.9738 0.9974 0.2174  5 O 2.02-2.13
Li 0.0000 0.0000 0.0000  4 O 1.94-2.08
O 0.2690 0.0565 0.1146  1 P 1.56
O 0.4031 0.1011 0.7551  1 P 1.55
O 0.5300 0.7115 0.3749  1 P 1.55
O 0.2570 0.4207 0.3955  1 P 1.56
P 0.5067 0.1170 0.6485  4 O 1.52-1.59
O 0.6893 0.5698 0.1448  1 P 1.59
O 0.7430 0.5793 0.6045  1 P 1.56
O 0.2430 0.9207 0.8955  1 P 1.56
O 0.5140 0.7107 0.7938  1 P 1.51
O 0.8107 0.0698 0.6448  1 P 1.59
Li 0.0611 0.3468 0.6128  4 O 1.93-2.13
P 0.4973 0.1782 0.1132  4 O 1.51-1.56
O 0.5161 0.7399 0.9842  1 P 1.55
O 0.9839 0.2399 0.4842  1 P 1.55
P 0.0027 0.6782 0.6132  4 O 1.51-1.56
O 0.4860 0.2893 0.2062  1 P 1.51
O 0.9031 0.3989 0.7449  1 P 1.55
O 0.0969 0.6011 0.2551  1 P 1.55
O 0.8468 0.4929 0.9225  1 P 1.52
O 0.4839 0.2601 0.0158  1 P 1.55
O 0.4700 0.2885 0.6251  1 P 1.55
Mo 0.0000 0.0000 0.5000  6 O 2.04-2.21
Li 0.5000 0.5000 0.5000  4 O 1.94-2.08
Li 0.5611 0.1532 0.8872  4 O 1.93-2.13
O 0.5969 0.8989 0.2449  1 P 1.55
O 0.7570 0.0793 0.1045  1 P 1.56
O 0.7690 0.4435 0.3854  1 P 1.56
Mo 0.0262 0.0026 0.7826  5 O 2.02-2.13

## Properties
DOS at the Fermi energy ... 0.000 states/eV per atom
E_form (uncorrected) ... -5770 kJ/mol of formula units
SG ... P2_1/c, No. 14
Crystal system ... monoclinic
M_tot ... 0.35 μB per atom

***

[3]
Compound: InIr2W
Source: Alexandria via LeMat-Bulk
Functional: meta-GGA SCAN
Structure: single point on PBEsol structure

a = 2.8520 Å, b = 2.8520 Å, c = 7.6773 Å
α = 90.00°, β = 90.00°, γ = 90.00°
Closest atoms and distances in Å follow each position.
Element x y z (fractional)
Ir 0.0000 0.0000 0.7660  4 W 2.70, 4 Ir 2.85, 4 In 2.87
W 0.5000 0.5000 0.0000  8 Ir 2.70, 4 W 2.85
In 0.5000 0.5000 0.5000  4 In 2.85, 8 Ir 2.87
Ir 0.0000 0.0000 0.2340  4 W 2.70, 4 Ir 2.85, 4 In 2.87

## Properties
Formation energy from the elements ... -0.973 eV per formula unit
DOS at the Fermi energy ... 0.483 states/eV per atom
SG ... P4/mmm, No. 123
Crystal system ... tetragonal
M_tot ... 0.00 μB per atom

***

[4]
Compound: CrP2HS
Source: Alexandria via LeMat-Bulk
Functional: meta-GGA SCAN
Structure: single point on PBEsol structure

a = 3.5207 Å, b = 3.5207 Å, c = 4.9906 Å
α = 90.00°, β = 90.00°, γ = 90.00°
Closest atoms and distances in Å follow each position.
Element x y z (fractional)
P 0.5000 0.0000 0.0000  2 H 1.76
Cr 0.5000 0.5000 0.5000  4 S 2.49
P 0.0000 0.5000 0.0000  2 H 1.76
S 0.0000 0.0000 0.5000  4 Cr 2.49, 2 H 2.50
H 0.0000 0.0000 0.0000  4 P 1.76

## Properties
DOS at the Fermi energy ... 0.479 states/eV per atom
SG ... P4/mmm, No. 123
Crystal system ... tetragonal
M_tot ... 0.63 μB per atom
Total energy ... -9.95 eV per atom